(1)
## La4Ho2Er (PBE)

Data for a relaxed structure of La4Ho2Er.

Structure (extended XYZ):
```
14
Lattice="-2.140 8.972 -8.783 7.974 -7.853 6.081 -3.999 -4.845 -2.764" Properties=species:S:1:pos:R:3 pbc="T T T"
La -0.389 0.541 -1.307
La -3.590 0.860 -7.555
La -1.802 3.705 -6.969
La -1.305 -3.683 -1.097
La 3.850 -5.768 1.823
La 2.342 -8.937 0.678
La 3.013 -0.369 -1.683
La 0.625 -2.144 -3.637
Ho 0.506 -6.768 -1.568
Ho -0.686 0.965 -4.878
Ho -1.305 7.227 -7.564
Ho 4.943 -8.916 3.177
Er 2.425 -3.920 -0.991
Er 1.897 2.707 -3.323
```

Output
offset from the most stable computed form	0	kJ/mol of formula units
space group	Cc, No. 9

(2)
## La2HoEr5 (PBE)

Data for a relaxed structure of La2HoEr5.

Structure (extended XYZ):
```
16
Lattice="-2.317 -0.364 -4.498 -4.448 -4.886 2.687 -9.050 10.342 3.825" Properties=species:S:1:pos:R:3 pbc="T T T"
Er -10.191 7.645 1.771
Er -9.010 5.312 4.212
Er -5.624 -2.554 0.244
Er -5.664 2.477 -0.143
Er -10.150 2.614 2.158
Er -6.749 2.728 3.256
Er -6.710 -2.300 3.644
Er -4.487 0.144 2.300
Er -6.787 7.756 2.869
Er 0.000 0.000 0.000
Ho -2.224 -2.443 1.344
Ho -4.525 5.171 1.912
La -3.403 -0.108 -1.098
La -7.928 5.061 0.814
La -7.887 0.031 1.201
La -12.411 5.200 3.113
```

Output
offset from the most stable computed form	2	kJ/mol of formula units
space group	Pbam, No. 55

(3)
## La4Ho7Er (PBE)

Data for a relaxed structure of La4Ho7Er.

Structure (extended XYZ):
```
12
Lattice="-3.851 1.269 4.362 3.942 -6.111 9.325 1.494 5.357 3.827" Properties=species:S:1:pos:R:3 pbc="T T T"
Ho 1.354 -1.969 13.966
Ho -1.926 0.635 2.181
Ho -0.100 -1.087 8.360
Ho 0.232 2.484 3.548
Ho 1.685 1.601 9.154
Ho -1.114 3.830 10.100
Ho 2.699 -3.315 7.414
Er 0.000 0.000 0.000
La 0.696 1.077 12.498
La 2.420 -1.627 10.742
La 0.890 -0.562 5.015
La -0.835 2.142 6.771
```

Output
space group	C2/m, No. 12

(4)
## LaHo7Er12 (PBE)

Data for a relaxed structure of LaHo7Er12.

Structure (extended XYZ):
```
20
Lattice="8.376 1.202 1.805 -1.174 8.380 1.805 -1.174 -1.562 8.429" Properties=species:S:1:pos:R:3 pbc="T T T"
Ho 6.895 0.489 4.703
Ho 3.014 4.010 6.019
Ho 7.475 6.284 3.989
Ho 2.070 7.778 2.263
Ho -1.448 1.736 8.049
Ho -0.868 7.531 7.335
Ho 3.958 0.242 9.775
La 0.000 0.000 0.000
Er 1.800 1.198 7.499
Er 3.765 4.124 9.726
Er -0.021 2.349 4.486
Er 0.650 6.126 4.792
Er 3.113 0.880 3.896
Er 2.914 7.140 8.142
Er 5.378 1.894 7.246
Er 2.262 3.896 2.312
Er 6.049 5.671 7.552
Er 4.227 6.822 4.539
Er 5.703 3.525 3.994
Er 0.324 4.495 8.044
```

Output
space group	R-3, No. 148

(5)
## La2Ho9Er3 (PBE)

Data for a relaxed structure of La2Ho9Er3.

Structure (extended XYZ):
```
14
Lattice="-5.464 2.203 2.117 -3.006 1.014 11.355 -1.270 8.894 7.633" Properties=species:S:1:pos:R:3 pbc="T T T"
Ho -7.773 6.802 15.154
Ho -2.138 4.954 9.494
Ho -1.968 5.309 5.951
Ho -2.684 2.060 7.486
Ho -4.382 7.459 6.601
Ho -5.552 2.147 9.109
Ho -7.057 10.051 13.620
Ho -5.359 4.652 14.505
Ho -4.189 9.964 11.996
Er 0.000 0.000 0.000
Er -5.230 4.570 7.238
Er -4.510 7.541 13.867
La -4.530 7.599 9.823
La -5.210 4.512 11.282
```

Output
space group	C2/m, No. 12

(6)
## La3Ho8Er3 (PBE)

Data for a relaxed structure of La3Ho8Er3.

Structure (extended XYZ):
```
14
Lattice="5.555 0.000 1.117 2.739 9.283 0.751 1.060 -3.202 9.103" Properties=species:S:1:pos:R:3 pbc="T T T"
Ho 7.006 2.734 8.275
Ho 4.593 -0.677 5.901
Ho 2.347 3.347 2.695
Ho 5.328 4.791 2.243
Ho 4.025 1.290 8.727
Ho 4.760 6.758 5.069
Ho 7.348 5.272 6.578
Ho 2.006 0.809 4.393
La 1.370 -0.896 7.560
La 2.778 0.000 0.558
La 2.428 6.977 2.294
Er 4.156 4.837 8.066
Er 5.197 1.244 2.904
Er 4.677 3.041 5.485
```

Output
space group	Immm, No. 71

(7)
## La3Ho7Er2 (PBE)

Data for a relaxed structure of La3Ho7Er2.

Structure (extended XYZ):
```
12
Lattice="3.612 0.000 -0.475 0.000 5.613 0.000 0.835 0.000 20.421" Properties=species:S:1:pos:R:3 pbc="T T T"
Ho 0.366 2.807 2.758
Ho 2.946 2.807 8.471
Ho 2.187 0.000 16.757
Ho 1.502 2.807 11.476
Ho 2.261 0.000 3.189
Ho 0.000 0.000 0.000
Ho 4.081 2.807 17.189
Er 1.909 2.807 14.658
Er 2.538 2.807 5.289
La 1.806 2.807 -0.237
La 0.914 0.000 6.928
La 3.534 0.000 13.019
```

Output
space group	P2/m, No. 10

(8)
## La5Ho12Er2 (PBE)

Data for a relaxed structure of La5Ho12Er2.

Structure (extended XYZ):
```
19
Lattice="5.999 -1.586 0.183 -4.624 10.135 -6.522 0.238 -1.762 12.780" Properties=species:S:1:pos:R:3 pbc="T T T"
Ho 1.074 6.487 3.434
Ho 0.931 1.472 -0.298
Ho 4.372 -0.497 10.910
Ho -1.701 7.863 1.649
Ho 0.682 5.315 6.739
Ho -0.396 4.659 0.646
Ho 0.539 0.300 3.007
Ho -2.760 7.285 -4.469
Ho 2.834 4.475 -0.922
Ho -1.221 2.313 7.363
Ho 3.313 -1.076 4.792
Ho 2.009 2.128 5.795
La 0.119 -0.881 6.390
La 2.411 3.282 2.436
La 1.574 0.899 9.129
La -0.798 3.505 4.005
La 0.039 5.888 -2.688
Er 3.739 0.074 1.435
Er -2.126 6.713 5.006
```

Output
space group	P-1, No. 2

| no. | formation energy (meV/atom) | magnetization (μB/f.u.) |
| --- | --- | --- |
| 1 | 71.3 | 0.00 |
| 2 | 38.0 | 0.00 |
| 3 | 260.9 | 0.00 |
| 4 | 240.6 | 0.00 |
| 5 | 368.4 | 0.00 |
| 6 | 105.1 | 0.00 |
| 7 | 232.3 | 0.00 |
| 8 | 29.6 | 0.00 |